Na2ErBiO4 | PBE | optimized geometry

Unit cell a=5.983 b=3.454 c=6.031 alpha=90.00 beta=109.50 gamma=90.00
Space group P2/m (No. 10)
One atom of each set of equivalent atoms:
Na 0.000 0.000 0.000
Na 0.000 0.500 0.500
Er 0.500 0.000 0.500
Bi 0.500 0.500 0.000
O 0.276 0.000 0.742
O 0.287 0.500 0.275

Results
Fermi-level density of states: 0.00 states/eV/f.u.
E_form (uncorrected): -2082 meV per atom
Calculated volume: 14.7 Å³ per atom
M_tot: 0.0 μB/f.u.